Below is a relaxed structure of Tl2W2O7, with properties calculated at the PBE+U level.

Calculated values
**DOS(E_F)**: 4.94 states/eV per cell
**Energy**: -0.46902 Ry/atom

a = 7.6043 Å, b = 7.6043 Å, c = 7.6043 Å
α = 60.00°, β = 60.00°, γ = 60.00°
Closest atoms and distances in Å follow each position.
Element x y z (fractional)
Tl 0.0000 0.0000 0.0000  2 O 2.33
Tl 0.0000 0.0000 0.5000  2 O 2.33
Tl 0.0000 0.5000 0.0000  2 O 2.33
Tl 0.5000 0.0000 0.0000  2 O 2.33
W 0.0000 0.5000 0.5000  6 O 2.00
W 0.5000 0.0000 0.5000  6 O 2.00
W 0.5000 0.5000 0.0000  6 O 2.00
W 0.5000 0.5000 0.5000  6 O 2.00
O 0.1250 0.1250 0.1250  4 Tl 2.33
O 0.1910 0.1910 0.5590  2 W 2.00
O 0.1910 0.5590 0.1910  2 W 2.00
O 0.1910 0.5590 0.5590  2 W 2.00
O 0.4410 0.4410 0.8090  2 W 2.00
O 0.4410 0.8090 0.4410  2 W 2.00
O 0.4410 0.8090 0.8090  2 W 2.00
O 0.5590 0.1910 0.1910  2 W 2.00
O 0.5590 0.1910 0.5590  2 W 2.00
O 0.5590 0.5590 0.1910  2 W 2.00
O 0.8090 0.4410 0.4410  2 W 2.00
O 0.8090 0.4410 0.8090  2 W 2.00
O 0.8090 0.8090 0.4410  2 W 2.00
O 0.8750 0.8750 0.8750  4 Tl 2.33